# 1
DFT (GGA-PBE) results for a geometry-optimized YMgTe2O8 structure.

Geometry as CIF:
```
data_YMgTe2O8
_symmetry_space_group_name_H-M 'P 1'
_symmetry_Int_Tables_number 1
_cell_length_a 6.109
_cell_length_b 6.109
_cell_length_c 6.109
_cell_angle_alpha 107.60
_cell_angle_beta 107.60
_cell_angle_gamma 113.28
loop_
_symmetry_equiv_pos_as_xyz
'x,y,z'
loop_
_atom_site_label
_atom_site_fract_x
_atom_site_fract_y
_atom_site_fract_z
Y1 0.250 0.750 0.500
Mg1 0.000 0.000 0.000
Te1 0.750 0.250 0.500
Te2 0.500 0.500 0.000
O1 0.364 0.056 0.308
O2 0.304 0.491 0.187
O3 0.304 0.118 0.813
O4 0.748 0.056 0.692
O5 0.882 0.696 0.187
O6 0.944 0.252 0.308
O7 0.944 0.636 0.692
O8 0.509 0.696 0.813
```

## Properties
ΔE_f (raw) = -1.624 eV per atom
Crystal system = tetragonal
Total energy = -6.1244 eV per atom
Fermi-level density of states = 2.34 states/eV/f.u.

# 2
DFT (GGA-PBE) results for a geometry-optimized MgZnTeO6 structure.

Geometry as CIF:
```
data_MgZnTeO6
_symmetry_space_group_name_H-M 'P 1'
_symmetry_Int_Tables_number 1
_cell_length_a 5.238
_cell_length_b 5.238
_cell_length_c 8.852
_cell_angle_alpha 90.00
_cell_angle_beta 90.00
_cell_angle_gamma 120.00
loop_
_symmetry_equiv_pos_as_xyz
'x,y,z'
loop_
_atom_site_label
_atom_site_fract_x
_atom_site_fract_y
_atom_site_fract_z
Mg1 0.000 0.000 0.000
Mg2 0.000 0.000 0.500
Zn1 0.667 0.333 0.250
Zn2 0.333 0.667 0.750
Te1 0.333 0.667 0.250
Te2 0.667 0.333 0.750
O1 0.645 0.667 0.130
O2 0.023 0.355 0.130
O3 0.355 0.023 0.630
O4 0.977 0.645 0.870
O5 0.333 0.355 0.370
O6 0.023 0.667 0.370
O7 0.667 0.023 0.870
O8 0.645 0.977 0.370
O9 0.977 0.333 0.630
O10 0.333 0.977 0.130
O11 0.667 0.645 0.630
O12 0.355 0.333 0.870
```

## Properties
ΔE_f (raw) = -1.160 eV per atom
Crystal system = trigonal
Total energy = -5.1335 eV per atom
Fermi-level density of states = 4.90 states/eV/f.u.

# 3
DFT (GGA-PBE) results for a geometry-optimized MgZn2TeO structure.

Geometry as CIF:
```
data_MgZn2TeO
_symmetry_space_group_name_H-M 'P 1'
_symmetry_Int_Tables_number 1
_cell_length_a 5.404
_cell_length_b 4.117
_cell_length_c 5.404
_cell_angle_alpha 90.00
_cell_angle_beta 90.00
_cell_angle_gamma 90.00
loop_
_symmetry_equiv_pos_as_xyz
'x,y,z'
loop_
_atom_site_label
_atom_site_fract_x
_atom_site_fract_y
_atom_site_fract_z
Zn1 0.000 0.000 0.500
Zn2 0.500 0.000 0.000
Te1 0.000 0.000 0.000
Mg1 0.500 0.500 0.500
O1 0.000 0.500 0.000
```

## Properties
ΔE_f (raw) = 0.128 eV per atom
Crystal system = tetragonal
Total energy = -2.3209 eV per atom
Fermi-level density of states = 1.60 states/eV/f.u.

# 4
DFT (GGA-PBE) results for a geometry-optimized Mg2ZnTeO6 structure.

Geometry as CIF:
```
data_Mg2ZnTeO6
_symmetry_space_group_name_H-M 'P 1'
_symmetry_Int_Tables_number 1
_cell_length_a 5.233
_cell_length_b 5.233
_cell_length_c 5.587
_cell_angle_alpha 62.07
_cell_angle_beta 62.07
_cell_angle_gamma 60.00
loop_
_symmetry_equiv_pos_as_xyz
'x,y,z'
loop_
_atom_site_label
_atom_site_fract_x
_atom_site_fract_y
_atom_site_fract_z
Mg1 0.527 0.527 0.420
Mg2 0.016 0.016 0.952
Zn1 0.797 0.797 0.608
Te1 0.321 0.321 0.036
O1 0.589 0.225 0.239
O2 0.225 0.947 0.239
O3 0.947 0.589 0.239
O4 0.409 0.705 0.761
O5 0.705 0.125 0.761
O6 0.125 0.409 0.761
```

## Properties
ΔE_f (raw) = -1.824 eV per atom
Crystal system = trigonal
Total energy = -5.5596 eV per atom
Fermi-level density of states = 0.00 states/eV/f.u.

# 5
DFT (GGA-PBE) results for a geometry-optimized MgZrTe2O8 structure.

Geometry as CIF:
```
data_MgZrTe2O8
_symmetry_space_group_name_H-M 'P 1'
_symmetry_Int_Tables_number 1
_cell_length_a 5.996
_cell_length_b 5.996
_cell_length_c 5.996
_cell_angle_alpha 108.67
_cell_angle_beta 108.67
_cell_angle_gamma 111.08
loop_
_symmetry_equiv_pos_as_xyz
'x,y,z'
loop_
_atom_site_label
_atom_site_fract_x
_atom_site_fract_y
_atom_site_fract_z
Mg1 0.000 0.000 0.000
Zr1 0.250 0.750 0.500
Te1 0.750 0.250 0.500
Te2 0.500 0.500 0.000
O1 0.354 0.043 0.311
O2 0.293 0.490 0.197
O3 0.293 0.096 0.803
O4 0.732 0.043 0.689
O5 0.904 0.707 0.197
O6 0.957 0.268 0.311
O7 0.957 0.646 0.689
O8 0.510 0.707 0.803
```

## Properties
ΔE_f (raw) = -1.596 eV per atom
Crystal system = tetragonal
Total energy = -6.2704 eV per atom
Fermi-level density of states = 0.67 states/eV/f.u.

# 6
DFT (GGA-PBE) results for a geometry-optimized ThMgO structure.

Geometry as CIF:
```
data_ThMgO
_symmetry_space_group_name_H-M 'P 1'
_symmetry_Int_Tables_number 1
_cell_length_a 3.550
_cell_length_b 6.787
_cell_length_c 11.114
_cell_angle_alpha 90.00
_cell_angle_beta 90.00
_cell_angle_gamma 90.00
loop_
_symmetry_equiv_pos_as_xyz
'x,y,z'
loop_
_atom_site_label
_atom_site_fract_x
_atom_site_fract_y
_atom_site_fract_z
Th1 0.250 0.625 0.620
Th2 0.750 0.875 0.380
Th3 0.750 0.375 0.380
Th4 0.250 0.125 0.620
Mg1 0.250 0.875 0.909
Mg2 0.750 0.625 0.091
Mg3 0.750 0.125 0.091
Mg4 0.250 0.375 0.909
O1 0.250 0.625 0.386
O2 0.750 0.875 0.614
O3 0.750 0.375 0.614
O4 0.250 0.125 0.386
```

## Properties
ΔE_f (raw) = -1.561 eV per atom
Crystal system = orthorhombic
Total energy = -6.2182 eV per atom
Fermi-level density of states = 2.14 states/eV/f.u.

# 7
DFT (GGA-PBE) results for a geometry-optimized Th3Mg5O12 structure.

Geometry as CIF:
```
data_Th3Mg5O12
_symmetry_space_group_name_H-M 'P 1'
_symmetry_Int_Tables_number 1
_cell_length_a 11.105
_cell_length_b 11.105
_cell_length_c 11.105
_cell_angle_alpha 109.47
_cell_angle_beta 109.47
_cell_angle_gamma 109.47
loop_
_symmetry_equiv_pos_as_xyz
'x,y,z'
loop_
_atom_site_label
_atom_site_fract_x
_atom_site_fract_y
_atom_site_fract_z
Th1 0.750 0.375 0.125
Th2 0.875 0.750 0.125
Th3 0.375 0.750 0.625
Th4 0.250 0.125 0.375
Th5 0.875 0.125 0.250
Th6 0.375 0.625 0.250
Th7 0.625 0.375 0.750
Th8 0.125 0.875 0.750
Th9 0.750 0.875 0.625
Th10 0.625 0.250 0.375
Th11 0.125 0.250 0.875
Th12 0.250 0.625 0.875
Mg1 0.125 0.375 0.250
Mg2 0.000 0.500 0.000
Mg3 0.000 0.000 0.000
Mg4 0.375 0.250 0.125
Mg5 0.500 0.000 0.500
Mg6 0.500 0.500 0.000
Mg7 0.125 0.750 0.375
Mg8 0.750 0.125 0.875
Mg9 0.750 0.625 0.375
Mg10 0.375 0.125 0.750
Mg11 0.625 0.875 0.250
Mg12 0.500 0.500 0.500
Mg13 0.500 0.000 0.000
Mg14 0.000 0.000 0.500
Mg15 0.250 0.375 0.625
Mg16 0.250 0.875 0.125
Mg17 0.000 0.500 0.500
Mg18 0.875 0.250 0.625
Mg19 0.625 0.750 0.875
Mg20 0.875 0.625 0.750
O1 0.713 0.130 0.037
O2 0.324 0.537 0.407
O3 0.963 0.370 0.287
O4 0.537 0.213 0.130
O5 0.583 0.713 0.676
O6 0.963 0.593 0.176
O7 0.324 0.787 0.417
O8 0.093 0.917 0.130
O9 0.593 0.963 0.676
O10 0.713 0.583 0.176
O11 0.787 0.463 0.370
O12 0.824 0.907 0.037
O13 0.130 0.713 0.537
O14 0.370 0.407 0.083
O15 0.083 0.907 0.370
O16 0.417 0.130 0.593
O17 0.083 0.176 0.213
O18 0.463 0.676 0.093
O19 0.824 0.917 0.287
O20 0.130 0.417 0.093
O21 0.370 0.963 0.787
O22 0.593 0.630 0.417
O23 0.907 0.824 0.537
O24 0.787 0.324 0.917
O25 0.407 0.370 0.583
O26 0.093 0.176 0.463
O27 0.213 0.676 0.083
O28 0.176 0.083 0.713
O29 0.630 0.037 0.213
O30 0.870 0.583 0.907
O31 0.537 0.324 0.907
O32 0.583 0.870 0.407
O33 0.917 0.824 0.787
O34 0.917 0.093 0.630
O35 0.870 0.287 0.463
O36 0.176 0.093 0.963
O37 0.630 0.593 0.917
O38 0.407 0.037 0.324
O39 0.287 0.417 0.824
O40 0.213 0.537 0.630
O41 0.907 0.083 0.870
O42 0.676 0.213 0.583
O43 0.463 0.787 0.870
O44 0.037 0.407 0.824
O45 0.417 0.287 0.324
O46 0.037 0.630 0.713
O47 0.676 0.463 0.593
O48 0.287 0.870 0.963
```

## Properties
ΔE_f (raw) = -2.896 eV per atom
Crystal system = cubic
Total energy = -7.3826 eV per atom
Fermi-level density of states = 19.08 states/eV/f.u.

# 8
DFT (GGA-PBE) results for a geometry-optimized ThMgUO6 structure.

Geometry as CIF:
```
data_ThMgUO6
_symmetry_space_group_name_H-M 'P 1'
_symmetry_Int_Tables_number 1
_cell_length_a 5.456
_cell_length_b 5.456
_cell_length_c 10.099
_cell_angle_alpha 90.00
_cell_angle_beta 90.00
_cell_angle_gamma 120.00
loop_
_symmetry_equiv_pos_as_xyz
'x,y,z'
loop_
_atom_site_label
_atom_site_fract_x
_atom_site_fract_y
_atom_site_fract_z
Th1 0.000 0.000 0.000
Th2 0.000 0.000 0.500
Mg1 0.333 0.667 0.250
Mg2 0.667 0.333 0.750
U1 0.667 0.333 0.250
U2 0.333 0.667 0.750
O1 0.654 0.650 0.138
O2 0.995 0.346 0.138
O3 0.346 0.995 0.638
O4 0.005 0.654 0.862
O5 0.350 0.346 0.362
O6 0.995 0.650 0.362
O7 0.650 0.995 0.862
O8 0.654 0.005 0.362
O9 0.005 0.350 0.638
O10 0.350 0.005 0.138
O11 0.650 0.654 0.638
O12 0.346 0.350 0.862
```

## Properties
ΔE_f (raw) = -3.240 eV per atom
Crystal system = trigonal
Total energy = -8.8009 eV per atom
Fermi-level density of states = 0.00 states/eV/f.u.